Entry from Alexandria: a relaxed structure of CaAlPS2 (PBE).

```
data_CaAlPS2
_chemical_formula_sum 'Ca1 Al1 P1 S2'
_symmetry_space_group_name_H-M 'P 4/m m m'
_symmetry_Int_Tables_number 123
_symmetry_space_group_name_Hall '-P 4 2'
_cell_length_a 4.789
_cell_length_b 4.789
_cell_length_c 4.583
_cell_angle_alpha 90.00
_cell_angle_beta 90.00
_cell_angle_gamma 90.00
loop_
_atom_site_label
_atom_site_fract_x
_atom_site_fract_y
_atom_site_fract_z
Ca1 0.000 0.000 0.000
Al1 0.500 0.500 0.500
P1 0.500 0.500 0.000
S1 0.000 0.500 0.500
```

Output
Formation energy from raw total energies = -0.59 eV per atom
Total magnetic moment = 0.61 Bohr magnetons per cell
Polymorph energy (0 for the lowest one) = 0.0000 eV per atom
N(E_F) = 3.95 states/eV/f.u.
Density = 2.6 Mg/m³

Entry from Alexandria: a relaxed structure of Sr2CaAl2P4 (PBE).

```
data_Sr2CaAl2P4
_chemical_formula_sum 'Sr4 Ca2 Al4 P8'
_symmetry_space_group_name_H-M 'C 1 2/m 1'
_symmetry_Int_Tables_number 12
_cell_length_a 15.367
_cell_length_b 3.973
_cell_length_c 7.366
_cell_angle_alpha 90.00
_cell_angle_beta 109.79
_cell_angle_gamma 90.00
loop_
_symmetry_equiv_pos_as_xyz
'x,y,z'
'-x,-y,-z'
'-x,y,-z'
'x,-y,z'
'x+1/2,y+1/2,z'
'-x+1/2,-y+1/2,-z'
'-x+1/2,y+1/2,-z'
'x+1/2,-y+1/2,z'
loop_
_atom_site_label
_atom_site_fract_x
_atom_site_fract_y
_atom_site_fract_z
Sr1 0.122 0.000 0.042
Ca1 0.000 0.000 0.500
Al1 0.171 0.500 0.480
P1 0.027 0.500 0.242
P2 0.213 0.000 0.689
```

Output
Total magnetic moment = 0.00 Bohr magnetons per cell
Energy relative to the elements = -0.96 eV per atom
N(E_F) = 0.03 states/eV/f.u.
Density = 3.1 Mg/m³

Entry from Alexandria: a relaxed structure of Ca4Th3AlP8 (PBE).

```
data_Ca4Th3AlP8
_chemical_formula_sum 'Ca12 Th9 Al3 P24'
_symmetry_space_group_name_H-M 'R -3 m'
_symmetry_Int_Tables_number 166
_symmetry_space_group_name_Hall '-R 3 2"'
_cell_length_a 8.1864
_cell_length_b 8.1864
_cell_length_c 20.2841
_cell_angle_alpha 90.00
_cell_angle_beta 90.00
_cell_angle_gamma 120.00
loop_
_atom_site_label
_atom_site_fract_x
_atom_site_fract_y
_atom_site_fract_z
Ca1 0.0000 0.0000 0.0000
Ca2 0.0000 0.5000 0.0000
Th1 0.0000 0.5000 0.5000
Al1 0.0000 0.0000 0.5000
P1 0.0000 0.0000 0.2476
P2 0.0166 0.5083 0.2439
```

Output
Total magnetic moment = 0.00 Bohr magnetons per cell
Energy relative to the elements = -1.11 eV per atom
N(E_F) = 13.89 states/eV/f.u.
Density = 4.8 Mg/m³

Entry from Alexandria: a relaxed structure of CaZrAlP2 (PBE).

```
data_CaZrAlP2
_chemical_formula_sum 'Ca1 Zr1 Al1 P2'
_symmetry_space_group_name_H-M 'P 4/m m m'
_symmetry_Int_Tables_number 123
_symmetry_space_group_name_Hall '-P 4 2'
_cell_length_a 5.043
_cell_length_b 5.043
_cell_length_c 5.139
_cell_angle_alpha 90.00
_cell_angle_beta 90.00
_cell_angle_gamma 90.00
loop_
_atom_site_label
_atom_site_fract_x
_atom_site_fract_y
_atom_site_fract_z
Ca1 0.000 0.000 0.000
Zr1 0.500 0.500 0.500
Al1 0.500 0.500 0.000
P1 0.000 0.500 0.500
```

Output
Total magnetic moment = 0.00 Bohr magnetons per cell
Polymorph energy (0 for the lowest one) = 0.0000 eV per atom
Energy relative to the elements = -0.12 eV per atom
N(E_F) = 3.86 states/eV/f.u.
Density = 2.8 Mg/m³